1.
Here is a relaxed Cd2Fe2S crystal from Alexandria. Energies are from PBE.

As for the density: 6.8 Mg/m³.

The structure belongs to space group I4/mmm (No. 139); the cell edges are 3.3966, 3.3966 and 15.6200 Å and the angles 90.00°, 90.00° and 90.00°. The distinct sites, in fractional coordinates, are Cd at (0.0000, 0.0000, 0.1024), Fe at (0.0000, 0.5000, 0.2500) and S at (0.0000, 0.0000, 0.5000).

***

2.
Here is a relaxed Cd2Fe2S crystal from Alexandria. Energies are from PBE.

As for the density: 6.7 Mg/m³.

The structure belongs to space group P4/mbm (No. 127); the cell edges are 8.1516, 8.1516 and 2.7496 Å and the angles 90.00°, 90.00° and 90.00°. The distinct sites, in fractional coordinates, are Cd at (0.1922, 0.3078, 0.0000), Fe at (0.0991, 0.5991, 0.5000) and S at (0.0000, 0.0000, 0.0000).

***

Sorted by energy, starting with the most stable: 1, 2.